An optimized crystal structure of La2VZnO6. Source: the Alexandria database, functional PBE with a Hubbard U.

Values from the calculation:
V	12.61	Å³ per atom
final energy	-149.99	eV per cell

Cell lengths 5.599, 5.743, 9.617 Å; angles 90.00, 125.37, 90.00 degrees
Fractional coordinates of all 20 atoms:
La: 0.235 0.048 0.249
La: 0.235 0.452 0.749
La: 0.765 0.548 0.251
La: 0.765 0.952 0.751
V: 0.500 0.000 0.000
V: 0.500 0.500 0.500
Zn: 0.000 0.000 0.500
Zn: 0.000 0.500 0.000
O: 0.169 0.199 0.955
O: 0.169 0.301 0.455
O: 0.252 0.715 0.951
O: 0.252 0.785 0.451
O: 0.351 0.022 0.765
O: 0.351 0.478 0.265
O: 0.649 0.522 0.735
O: 0.649 0.978 0.235
O: 0.748 0.215 0.549
O: 0.748 0.285 0.049
O: 0.831 0.699 0.545
O: 0.831 0.801 0.045